No. 1
# InCu2Au

A relaxed InCu2Au crystal (PBE, Alexandria via LeMat-Bulk).

```
InCu2Au
1.0
7.2546 0.0000 0.0000
0.0000 7.2546 0.0000
3.6273 3.6273 2.6891
Au Cu In
2 4 2
Direct
0.0000 0.0000 0.0000 Au
0.7500 0.2500 0.5000 Au
0.8750 0.8848 0.7500 Cu
0.3750 0.3652 0.7500 Cu
0.6348 0.1250 0.2500 Cu
0.1152 0.6250 0.2500 Cu
0.5000 0.5000 0.0000 In
0.2500 0.7500 0.5000 In
```

Summary:
- Space group: I-42d, No. 122
- Fermi-level density of states: 0.29 states/eV per atom
- DFT total energy: -13.46 eV/f.u.
- Mass density: 10299 kg/m3
- Size of the total moment: 0.000 μB/atom
- V: 141.5 Å³/cell

No. 2
# InCu4Au6

A relaxed InCu4Au6 crystal (PBE, Alexandria via LeMat-Bulk).

```
InCu4Au6
1.0
6.1561 0.0000 0.0000
0.0000 6.1561 0.0000
-3.0780 -3.0780 5.2732
Cu Au In
4 6 1
Direct
0.9492 0.9492 0.1821 Cu
0.0508 0.7671 0.8179 Cu
0.7671 0.0508 0.8179 Cu
0.2329 0.2329 0.1821 Cu
0.9431 0.4289 0.3720 Au
0.0569 0.0569 0.6280 Au
0.0000 0.5000 0.0000 Au
0.5711 0.5711 0.6280 Au
0.5000 0.0000 0.0000 Au
0.4289 0.9431 0.3720 Au
0.5000 0.5000 0.0000 In
```

Summary:
- Space group: I-42m, No. 121
- Fermi-level density of states: 0.31 states/eV per atom
- DFT total energy: -37.58 eV/f.u.
- Mass density: 12886 kg/m3
- Size of the total moment: 0.000 μB/atom
- V: 199.8 Å³/cell

No. 3
# InCuAu6

A relaxed InCuAu6 crystal (PBE, Alexandria via LeMat-Bulk).

```
InCuAu6
1.0
-2.3169 -2.8385 -2.2136
-1.6058 -1.5409 3.6567
-5.9015 5.1467 -0.4229
In Au Cu
1 6 1
Direct
0.0000 0.0000 0.0000 In
0.5000 0.0000 0.7376 Au
0.5000 0.5000 0.5000 Au
0.5000 0.0000 0.2624 Au
0.0000 0.5000 0.7376 Au
0.0000 0.5000 0.2624 Au
0.5000 0.5000 0.0000 Au
0.0000 0.0000 0.5000 Cu
```

Summary:
- Space group: P4/mmm, No. 123
- Fermi-level density of states: 0.30 states/eV per atom
- DFT total energy: -26.92 eV/f.u.
- Mass density: 15717 kg/m3
- Size of the total moment: 0.000 μB/atom
- Excess energy over the best structure of this formula in the dataset: 0.000 eV/atom
- V: 143.7 Å³/cell

No. 4
# InCu7Au4

A relaxed InCu7Au4 crystal (PBE, Alexandria via LeMat-Bulk).

```
InCu7Au4
1.0
4.8922 0.9227 0.7693
3.8317 8.2315 0.9711
-0.0928 0.3539 5.1374
Au In Cu
4 1 7
Direct
0.2954 0.3427 0.1191 Au
0.4393 0.7763 0.3976 Au
0.5607 0.2237 0.6024 Au
0.7046 0.6573 0.8809 Au
0.0000 0.0000 0.0000 In
0.5000 0.0000 0.0000 Cu
0.3122 0.5669 0.7156 Cu
0.9217 0.3223 0.8091 Cu
0.8040 0.8821 0.5473 Cu
0.1960 0.1179 0.4527 Cu
0.6878 0.4331 0.2844 Cu
0.0783 0.6777 0.1909 Cu
```

Summary:
- Space group: P-1, No. 2
- Fermi-level density of states: 0.36 states/eV per atom
- DFT total energy: -43.78 eV/f.u.
- Mass density: 11865 kg/m3
- Size of the total moment: 0.000 μB/atom
- V: 188.6 Å³/cell

No. 5
# InCuAu2

A relaxed InCuAu2 crystal (PBE, Alexandria via LeMat-Bulk).

```
InCuAu2
1.0
-4.6214 2.4040 -6.3411
-5.3798 -0.8119 -6.1438
-6.9194 1.3743 -4.1928
In Cu Au
1 1 2
Direct
0.7550 0.7550 0.7550 In
0.5023 0.5023 0.5023 Cu
0.2439 0.2439 0.2439 Au
0.9988 0.9988 0.9988 Au
```

Summary:
- Space group: R3m, No. 160
- Fermi-level density of states: 0.19 states/eV per atom
- DFT total energy: -13.10 eV/f.u.
- Mass density: 12550 kg/m3
- Size of the total moment: 0.000 μB/atom
- V: 75.7 Å³/cell

No. 6
# InCu4Au5

A relaxed InCu4Au5 crystal (PBE, Alexandria via LeMat-Bulk).

```
InCu4Au5
1.0
-0.0447 -0.0244 3.2440
2.8210 -1.6023 0.0268
7.5869 13.3611 0.2051
Au In Cu
5 1 4
Direct
0.5000 0.5000 0.5000 Au
0.5000 0.5000 0.3132 Au
0.5000 0.5000 0.8761 Au
0.5000 0.5000 0.6868 Au
0.5000 0.5000 0.1239 Au
0.0000 0.0000 0.0000 In
0.0000 0.0000 0.4063 Cu
0.0000 0.0000 0.2196 Cu
0.0000 0.0000 0.5937 Cu
0.0000 0.0000 0.7804 Cu
```

Summary:
- Space group: P4/mmm, No. 123
- Fermi-level density of states: 0.36 states/eV per atom
- DFT total energy: -36.02 eV/f.u.
- Mass density: 13898 kg/m3
- Size of the total moment: 0.000 μB/atom
- V: 161.8 Å³/cell

No. 7
# In4CuAu

A relaxed In4CuAu crystal (PBE, Alexandria via LeMat-Bulk).

```
In4CuAu
1.0
5.3632 -2.6330 0.4904
3.1571 0.5499 5.0663
0.6997 -4.7242 3.6234
In Cu Au
4 1 1
Direct
0.3750 0.3750 0.3750 In
0.3750 0.3750 0.8751 In
0.3750 0.8751 0.3750 In
0.8751 0.3750 0.3750 In
0.0000 0.0000 0.0000 Cu
0.7500 0.7500 0.7500 Au
```

Summary:
- Space group: F-43m, No. 216
- Fermi-level density of states: 0.34 states/eV per atom
- DFT total energy: -15.62 eV/f.u.
- Mass density: 7846 kg/m3
- Size of the total moment: 0.000 μB/atom
- Excess energy over the best structure of this formula in the dataset: 0.586 eV/atom
- V: 152.3 Å³/cell

No. 8
# In2Cu2Au

A relaxed In2Cu2Au crystal (PBE, Alexandria via LeMat-Bulk).

```
In2Cu2Au
1.0
-4.4418 -4.5338 2.7394
-1.3328 -2.5035 -6.3044
2.8201 -2.5188 0.4040
Cu In Au
4 4 2
Direct
0.3705 0.8705 0.0000 Cu
0.1295 0.3705 0.0000 Cu
0.8705 0.6295 0.0000 Cu
0.6295 0.1295 0.0000 Cu
0.6695 0.8305 0.5000 In
0.3305 0.1695 0.5000 In
0.1695 0.6695 0.5000 In
0.8305 0.3305 0.5000 In
0.5000 0.5000 0.0000 Au
0.0000 0.0000 0.0000 Au
```

Summary:
- Space group: P4/mbm, No. 127
- Fermi-level density of states: 0.33 states/eV per atom
- DFT total energy: -16.93 eV/f.u.
- Mass density: 10119 kg/m3
- Size of the total moment: 0.000 μB/atom
- Excess energy over the best structure of this formula in the dataset: 0.000 eV/atom
- V: 181.7 Å³/cell